PuBr2F: optimized geometry, PBE.

Results
Total magnetic moment ... 1.25 μB per atom
Uncorrected formation energy ... -2218 meV/atom
Space-group type ... Cm (8)
Raw total energy ... -28.4 eV/cell

The structure in POSCAR format:
```
PuBr2F
1.0
4.0313 0.0037 0.9034
1.9121 3.5490 0.9034
0.2323 0.1389 7.9235
Pu F Br
1 1 2
Cartesian
4.8500 2.8991 6.3824
2.8690 1.7149 5.7801
1.3135 0.7852 3.2787
0.4636 0.2771 7.0775
```